Compound: SrSmGe
Source: Alexandria via LeMat-Bulk
Functional: PBE
Structure: relaxed

## Properties
Calculated density = 5256 kg/m³
DFT total energy = -4.093 eV/atom
Density of states at the Fermi level = 0.76 states/eV per atom
Space-group type = F-43m, No. 216
Energy of formation = -0.421 eV per atom

Cell: 5.1776 5.1776 5.1776 Å, 60.00 60.00 60.00°
Last column: nearest neighbours and their distance in Å.
Sites, in units of the cell vectors:
Sr (0.5000, 0.5000, 0.5000)  4 Ge 3.17
Ge (0.2500, 0.2500, 0.2500)  4 Sm 3.17, 4 Sr 3.17
Sm (0.0000, 0.0000, 0.0000)  4 Ge 3.17